[1]
Density functional theory data (PBE) for an optimized crystal structure of Sc4FeBr.

```
6
Lattice="0.000 4.152 4.152 4.152 0.000 4.152 4.152 4.152 0.000" Properties=species:S:1:pos:R:3 pbc="T T T"
Sc 3.131 3.131 3.131
Sc 5.172 5.172 3.131
Sc 5.172 3.131 5.172
Sc 3.131 5.172 5.172
Fe 6.228 6.228 6.228
Br 0.000 0.000 0.000
```

Mass density: 3.7 Mg/m³
Space-group type: F-43m, No. 216
Raw formation energy: 0.579 eV/atom

---

[2]
Density functional theory data (PBE) for an optimized crystal structure of ScFe2Br.

```
12
Lattice="3.594 0.000 0.000 -1.797 3.112 0.000 0.000 0.000 21.558" Properties=species:S:1:pos:R:3 pbc="T T T"
Sc 0.000 0.000 0.000
Sc 0.000 2.075 14.372
Sc 1.797 1.037 7.186
Fe 0.000 0.000 5.521
Fe 0.000 0.000 12.200
Fe 0.000 2.075 5.014
Fe 0.000 2.075 19.892
Fe 1.797 1.037 12.706
Fe 1.797 1.037 19.386
Br 0.000 0.000 16.211
Br 0.000 2.075 9.025
Br 1.797 1.037 1.839
```

Mass density: 4.9 Mg/m³
Space-group type: R3m, No. 160
Raw formation energy: -0.049 eV/atom

---

[3]
Density functional theory data (PBE) for an optimized crystal structure of Sc2FeBr.

```
4
Lattice="3.182 0.000 0.000 0.000 3.182 0.000 0.000 0.000 7.598" Properties=species:S:1:pos:R:3 pbc="T T T"
Sc 0.000 0.000 1.509
Sc 0.000 0.000 6.089
Fe 1.591 1.591 0.000
Br 1.591 1.591 3.799
```

Mass density: 4.9 Mg/m³
Space-group type: P4/mmm, No. 123
Raw formation energy: -0.450 eV/atom

---

[4]
Density functional theory data (PBE) for an optimized crystal structure of ScFeBr3.

```
5
Lattice="4.845 0.000 0.000 0.000 4.845 0.000 0.000 0.000 4.845" Properties=species:S:1:pos:R:3 pbc="T T T"
Sc 0.000 0.000 0.000
Fe 2.422 2.422 2.422
Br 0.000 2.422 2.422
Br 2.422 0.000 2.422
Br 2.422 2.422 0.000
```

Mass density: 5.0 Mg/m³
Space-group type: Pm-3m, No. 221
Raw formation energy: 0.011 eV/atom

---

[5]
Density functional theory data (PBE) for an optimized crystal structure of Sc2FeBr.

```
16
Lattice="6.748 0.000 0.000 0.000 6.748 0.000 0.000 0.000 7.645" Properties=species:S:1:pos:R:3 pbc="T T T"
Sc 1.364 1.687 0.956
Sc 1.687 4.738 2.867
Sc 1.687 5.384 6.690
Sc 2.010 1.687 4.778
Sc 4.738 5.061 4.778
Sc 5.061 1.364 6.690
Sc 5.061 2.010 2.867
Sc 5.384 5.061 0.956
Fe 0.000 0.000 0.000
Fe 0.000 3.374 1.911
Fe 3.374 0.000 5.734
Fe 3.374 3.374 3.823
Br 0.000 0.000 3.823
Br 0.000 3.374 5.734
Br 3.374 0.000 1.911
Br 3.374 3.374 0.000
```

Mass density: 4.3 Mg/m³
Space-group type: I-42d, No. 122
Raw formation energy: 0.066 eV/atom

---

[6]
Density functional theory data (PBE) for an optimized crystal structure of Sc2FeBr.

```
12
Lattice="3.650 0.000 0.000 -1.825 3.161 0.000 0.000 0.000 24.579" Properties=species:S:1:pos:R:3 pbc="T T T"
Sc 0.000 0.000 2.639
Sc 0.000 0.000 21.941
Sc 0.000 2.107 13.747
Sc 0.000 2.107 19.025
Sc 1.825 1.054 5.554
Sc 1.825 1.054 10.832
Fe 0.000 0.000 12.290
Fe 0.000 2.107 4.097
Fe 1.825 1.054 20.483
Br 0.000 0.000 0.000
Br 0.000 2.107 16.386
Br 1.825 1.054 8.193
```

Mass density: 4.0 Mg/m³
Space-group type: R-3m, No. 166
Raw formation energy: -0.313 eV/atom

---

[7]
Density functional theory data (PBE) for an optimized crystal structure of Sc2FeBr.

```
8
Lattice="3.272 0.000 0.000 0.000 3.405 0.000 0.000 0.000 14.644" Properties=species:S:1:pos:R:3 pbc="T T T"
Sc 0.000 0.000 0.000
Sc 0.000 1.702 4.395
Sc 1.636 0.000 11.717
Sc 1.636 1.702 7.322
Fe 0.000 1.702 12.875
Fe 1.636 0.000 5.553
Br 0.000 0.000 9.198
Br 1.636 1.702 1.876
```

Mass density: 4.6 Mg/m³
Space-group type: Imm2, No. 44
Raw formation energy: -0.355 eV/atom

---

[8]
Density functional theory data (PBE) for an optimized crystal structure of ScFe2Br.

```
8
Lattice="4.173 0.000 0.000 0.000 4.173 0.000 0.000 0.000 7.610" Properties=species:S:1:pos:R:3 pbc="T T T"
Sc 0.000 0.000 0.000
Sc 2.087 2.087 3.805
Fe 0.000 0.000 3.805
Fe 0.000 2.087 1.902
Fe 2.087 0.000 5.707
Fe 2.087 2.087 0.000
Br 0.000 2.087 5.707
Br 2.087 0.000 1.902
```

Mass density: 5.9 Mg/m³
Space-group type: I-4m2, No. 119
Raw formation energy: 0.365 eV/atom

---

Number 1: calculated volume 143.1 Å³/f.u.. Number 2: calculated volume 80.4 Å³/f.u.. Number 3: calculated volume 76.9 Å³/f.u.. Number 4: calculated volume 113.7 Å³/f.u.. Number 5: calculated volume 87.0 Å³/f.u.. Number 6: calculated volume 94.5 Å³/f.u.. Number 7: calculated volume 81.6 Å³/f.u.. Number 8: calculated volume 66.3 Å³/f.u..